First-principles (GGA+U) data for a geometry-optimized TaNiBiO6 structure, as listed in the Alexandria database.

Values from the calculation:
The calculation puts the total energy at -125.66 eV per cell. The calculation puts the magnetic moment at 4.032 Bohr magnetons per cell.

Lattice parameters (Å, degrees): 4.8547 4.8547 9.5257 90.00 90.00 90.00
With the nearest neighbours (Å) after each atom.
Space group P4_2nm (No. 102)
One atom of each set of equivalent atoms:
1 Ta 0.0000 0.0000 0.0000 x2  6 O 1.97-2.03
2 Ni 0.0000 0.0000 0.6682 x2  6 O 2.08-2.12
3 Bi 0.0000 0.0000 0.3382 x2  6 O 2.13-2.15
4 O 0.1888 0.1888 0.8449 x4  1 Ta 1.97, 1 Ni 2.12, 1 Bi 2.14
5 O 0.1938 0.1938 0.1610 x4  1 Ta 2.03, 1 Ni 2.10, 1 Bi 2.15
6 O 0.2045 0.2045 0.5068 x4  1 Ta 2.03, 1 Ni 2.08, 1 Bi 2.13